A:
18
Lattice="12.0436 -0.0004 -1.8228 0.0057 6.8408 -0.0182 -7.1766 -3.4343 8.6958" Properties=species:S:1:pos:R:3 comment="Pm5Nd2Sm2, relaxed, DFT PBE-GGA" sg="No. 1" density_g_cm3=7.0 pbc="T T T"
Pm -3.9518 1.7189 7.4034
Pm 8.4009 2.8372 2.1625
Pm 2.7613 2.7273 1.2504
Pm 9.0001 1.3386 -0.4315
Nd 5.7410 0.1587 0.9088
Sm 5.3729 3.9616 3.1991
Nd 5.1961 0.3778 4.7713
Nd -0.3532 3.9383 2.1937
Pm 1.9951 -0.7336 5.5714
Sm -1.1588 -0.1121 7.7704
Pm 8.8053 5.1489 -0.5851
Pm 2.5823 -0.7374 2.3045
Pm -3.4634 -0.5922 4.6754
Pm -4.1095 -2.0981 7.2803
Pm 2.3361 2.6572 4.5602
Sm -0.4749 0.6562 3.6041
Sm -7.1596 -3.2108 8.6798
Nd -0.8684 3.5205 5.9969

***

B:
9
Lattice="3.4636 -0.0004 -0.7142 -0.6721 9.4345 -3.2557 0.5412 -5.1964 11.3758" Properties=species:S:1:pos:R:3 comment="Pm5Nd2Sm2, relaxed, DFT PBE-GGA" sg="No. 12" density_g_cm3=6.9 pbc="T T T"
Nd 1.7962 1.2525 8.7119
Pm 0.0000 0.0000 0.0000
Pm 1.3650 -1.5572 6.6168
Sm 0.6751 -0.7692 3.2712
Pm 1.9678 5.7950 0.7890
Pm 0.4776 2.7085 2.3185
Pm 2.8552 1.5293 5.0874
Nd 1.5366 2.9854 -1.3061
Sm 2.6577 5.0071 4.1346

***

B has the most favorable energy; the next structure is 11 meV/atom above.

***

A:
11
Lattice="5.8704 -0.9567 2.1371 -0.9277 7.5741 2.8706 4.1613 6.0918 13.0796" Properties=species:S:1:pos:R:3 comment="Pm3Nd2Sm6, relaxed, DFT PBE-GGA" sg="No. 2" density_g_cm3=7.2 pbc="T T T"
Sm 6.1332 3.5502 6.5622
Nd 5.4136 9.3199 14.2281
Nd 3.6904 3.3892 3.8592
Pm 0.0000 0.0000 0.0000
Pm 3.9574 7.8843 8.2751
Sm 1.5181 7.7271 5.5711
Sm 2.9708 9.1589 11.5252
Sm 6.3989 8.0485 10.9713
Pm 5.1466 4.8248 9.8122
Sm 7.5859 4.9821 12.5162
Sm 2.7051 4.6607 7.1160

***

B:
11
Lattice="4.8333 0.0000 0.0000 0.0000 4.8333 0.0000 -2.4167 -2.4167 16.9203" Properties=species:S:1:pos:R:3 comment="Pm3Nd2Sm6, relaxed, DFT PBE-GGA" sg="No. 139" density_g_cm3=6.8 pbc="T T T"
Sm 2.4167 0.0000 12.8302
Sm 0.0000 0.0000 10.2523
Sm 2.4167 2.4166 6.6679
Pm 0.0000 0.0000 6.8063
Pm 0.0000 0.0000 0.0000
Sm 2.4166 0.0000 4.0901
Sm 0.0000 2.4167 4.0901
Sm 0.0000 2.4167 12.8302
Nd 2.4166 2.4167 1.5450
Nd 0.0000 0.0000 15.3753
Pm 2.4167 2.4167 10.1140

***

A has the most favorable energy; the next structure is 246 meV/atom above.

***

A:
16
Lattice="0.6735 4.2520 -5.5175 -3.0697 -13.4079 3.1004 -9.0091 -0.1081 3.7400" Properties=species:S:1:pos:R:3 comment="PmNd5Sm2, relaxed, DFT PBE-GGA" sg="No. 2" density_g_cm3=6.9 pbc="T T T"
Nd -8.4406 -8.3858 2.1181
Sm -5.1499 1.5963 -2.3585
Nd -2.5114 -7.1724 0.0806
Nd -5.8096 -3.1949 -0.4618
Nd -6.0382 0.2327 0.9098
Nd -5.3671 -9.4967 0.4131
Sm -6.2554 -10.8603 3.6814
Sm -2.7309 -4.2977 -2.1608
Nd -3.1773 -11.9653 1.9780
Nd -2.9647 -0.8782 -0.7951
Nd -5.5957 -6.0690 1.7848
Nd -8.8939 -2.0916 1.2423
Pm -2.7469 -3.7575 1.4521
Sm -8.6744 -4.9662 3.4837
Nd -8.2280 2.7014 -0.6551
Pm -8.6584 -5.5064 -0.1291

***

B:
16
Lattice="-1.9685 -3.3711 3.4050 6.7698 -1.6901 2.2404 -0.6941 10.6028 10.0959" Properties=species:S:1:pos:R:3 comment="PmNd5Sm2, relaxed, DFT PBE-GGA" sg="No. 55" density_g_cm3=7.0 pbc="T T T"
Sm 3.4821 6.3272 12.2175
Nd -0.1709 2.6521 2.5268
Sm 3.8362 1.0240 7.1719
Nd 0.1003 7.1717 11.0985
Sm 0.2710 4.5176 8.5695
Pm -0.3470 5.3014 5.0480
Nd 0.4482 1.8700 6.0508
Nd 4.0069 -1.6301 4.6429
Pm 3.3849 -0.8451 1.1202
Sm 0.6251 -0.7856 3.5239
Nd 0.0000 0.0000 0.0000
Nd 3.0378 4.4563 6.1682
Nd 6.2466 6.2606 9.8095
Nd 3.2142 1.8029 3.6432
Nd 2.8615 7.1098 8.6932
Nd 3.6590 3.6716 9.6906

***

B has the most favorable energy; the next structure is 18 meV/atom above.

***

A:
12
Lattice="3.6129 0.0000 0.0000 0.0000 9.8064 1.1700 0.0000 -0.6696 11.7593" Properties=species:S:1:pos:R:3 comment="PmNd3Sm2, relaxed, DFT PBE-GGA" sg="No. 11" density_g_cm3=7.0 pbc="T T T"
Pm 2.7097 1.9533 7.8568
Pm 0.9032 7.1836 5.0725
Nd 2.7097 5.4658 7.8137
Nd 0.9032 3.6710 5.1157
Nd 2.7097 6.9167 11.0193
Sm 2.7097 5.3617 2.2920
Sm 2.7097 0.5641 4.5628
Nd 0.9032 0.1726 10.4424
Nd 2.7097 8.9643 2.4870
Sm 0.9032 8.5727 8.3666
Nd 0.9032 2.2202 1.9100
Sm 0.9032 3.7752 10.6374

***

B:
12
Lattice="-0.4398 -11.2881 0.8694 4.7178 -6.2141 -4.4689 6.5163 -5.7653 2.2679" Properties=species:S:1:pos:R:3 comment="PmNd3Sm2, relaxed, DFT PBE-GGA" sg="No. 72" density_g_cm3=6.1 pbc="T T T"
Sm 2.9571 -14.2488 0.1598
Sm 2.0056 -8.5354 0.0332
Nd 8.3767 -17.3284 0.7298
Nd 4.9475 -11.7459 -2.3500
Nd 7.4775 -17.5528 -2.6386
Sm 7.8371 -9.0186 -1.4914
Nd 5.8468 -11.5215 1.0184
Pm 5.6170 -5.9897 -1.1005
Sm 8.7887 -14.7320 -1.3648
Nd 3.3168 -5.7146 1.3069
Nd 2.4176 -5.9390 -2.0615
Pm 0.0000 0.0000 0.0000

***

A has the most favorable energy; the next structure is 476 meV/atom above.

***

A:
16
Lattice="0.5903 -10.0893 0.9292 6.1217 0.5755 2.3607 -8.2406 5.1136 5.3314" Properties=species:S:1:pos:R:3 comment="Pm5NdSm2, relaxed, DFT PBE-GGA" sg="No. 15" density_g_cm3=7.0 pbc="T T T"
Pm -3.5890 -0.5971 5.8260
Pm -0.6169 -5.5366 5.4788
Pm -0.6350 1.5163 6.8382
Pm 1.5646 -0.4409 0.6440
Pm -0.9117 1.1364 3.1425
Pm 2.0604 -3.8031 2.7953
Sm -0.8961 -2.5387 1.2193
Pm 2.2532 -0.3554 4.4867
Pm -3.7818 -4.0448 4.1345
Sm 2.4546 -7.2042 2.8558
Pm 5.1473 -9.0729 2.6458
Sm -0.6325 -1.8615 7.4020
Nd -4.1203 2.5568 2.6657
Nd -0.7643 -2.2001 4.3106
Pm -0.8937 -5.9165 1.7830
Sm -3.9832 2.8040 5.7654

***

B:
16
Lattice="-4.7909 -1.2699 -1.4057 -0.6713 -4.1077 5.9989 -5.1998 11.5253 7.3101" Properties=species:S:1:pos:R:3 comment="Pm5NdSm2, relaxed, DFT PBE-GGA" sg="No. 55" density_g_cm3=7.1 pbc="T T T"
Pm -2.9356 3.7088 6.6545
Sm -4.8482 0.6024 6.5386
Pm -3.5508 -2.2750 4.7162
Pm -4.5123 2.6542 3.5405
Pm -4.2336 6.5905 8.4751
Pm 0.0000 0.0000 0.0000
Pm -7.1113 8.4227 7.1870
Sm -7.4475 6.3683 10.1888
Pm -4.5720 4.5427 11.4784
Pm -1.2991 2.8749 1.8306
Nd -0.3357 -2.0539 2.9994
Sm -3.2145 -0.2207 1.7144
Nd -2.5999 5.7627 3.6550
Pm -6.1497 3.4935 8.3627
Sm -5.8139 5.5453 5.3647
Pm -1.6375 0.8271 4.8339

***

B has the most favorable energy; the next structure is 138 meV/atom above.

***

A:
9
Lattice="-2.4505 1.4404 -2.3024 -1.1200 -2.0458 2.8180 -1.5320 22.3003 15.5810" Properties=species:S:1:pos:R:3 comment="Pm2Nd4Sm3, relaxed, DFT PBE-GGA" sg="No. 156" density_g_cm3=6.9 pbc="T T T"
Sm -3.0082 14.8520 9.5869
Nd -2.6713 9.9481 6.1606
Sm -1.5062 21.9253 15.3190
Pm -2.1421 2.2453 0.7787
Sm -0.4937 7.1869 5.0215
Nd -2.3385 5.1038 2.7759
Nd -0.8333 12.1295 8.4748
Nd -1.1696 17.0251 11.8953
Pm -3.3438 19.7374 13.0003

***

B:
9
Lattice="6.2709 -0.4626 -0.7670 -3.2758 4.3359 -3.2611 -1.6622 -0.6836 13.0511" Properties=species:S:1:pos:R:3 comment="Pm2Nd4Sm3, relaxed, DFT PBE-GGA" sg="No. 2" density_g_cm3=7.0 pbc="T T T"
Pm 2.5047 1.8225 1.9442
Sm 0.0000 0.0000 0.0000
Nd 1.9169 2.5020 5.4802
Sm -0.6775 3.4175 1.1155
Pm -1.1718 1.3672 7.0788
Nd -0.5840 0.6877 3.5427
Nd 3.0900 1.1365 -1.5974
Nd -1.7570 2.0532 10.6203
Sm 2.0105 -0.2277 7.9074

***

B has the most favorable energy; the next structure is 48 meV/atom above.

***

A:
12
Lattice="-2.2795 -2.1227 -1.7217 0.3106 -7.4393 8.7606 -7.7971 8.4490 -0.0933" Properties=species:S:1:pos:R:3 comment="Pm2NdSm9, relaxed, DFT PBE-GGA" sg="No. 191" density_g_cm3=7.3 pbc="T T T"
Sm -2.3914 -2.1828 2.1790
Sm -3.8985 4.2245 -0.0467
Pm -2.3920 -2.1432 5.8093
Sm 0.1553 -3.7197 4.3803
Nd 0.0000 0.0000 0.0000
Sm -2.2433 -5.7294 6.3554
Sm -5.9604 -1.7015 6.3109
Sm -3.7432 0.5048 4.3336
Sm -7.3746 1.0698 4.7666
Sm -3.8056 0.5885 0.6347
Pm -5.0945 3.1529 2.8580
Sm -7.5227 4.6164 0.5902

***

B:
12
Lattice="-1.1947 4.9620 0.6000 -1.6867 0.1805 -4.8509 -14.1110 -3.9728 4.7585" Properties=species:S:1:pos:R:3 comment="Pm2NdSm9, relaxed, DFT PBE-GGA" sg="No. 123" density_g_cm3=7.3 pbc="T T T"
Sm -12.5962 -3.2186 1.5378
Sm -10.8438 -0.0761 1.0455
Nd 0.0000 0.0000 0.0000
Sm -12.3502 -0.8278 4.2633
Pm -9.4040 -2.6476 3.1712
Sm -1.4407 2.5713 -2.1255
Sm -6.1485 1.2458 -0.5379
Pm -4.7070 -1.3252 1.5873
Sm -7.6528 0.4946 2.6793
Sm -7.8988 -1.8961 -0.0462
Sm -3.2015 -0.5737 -1.6302
Sm -2.9555 1.8171 1.0952

***

B has the most favorable energy; the next structure is 26 meV/atom above.

***

A:
11
Lattice="5.8195 0.0000 0.0000 -2.9098 6.0985 0.0000 0.0000 0.0000 10.8490" Properties=species:S:1:pos:R:3 comment="Pm4Nd3Sm4, relaxed, DFT PBE-GGA" sg="No. 38" density_g_cm3=7.0 pbc="T T T"
Pm 2.9098 3.0945 8.5632
Sm 0.0000 1.2602 7.6175
Sm 0.0000 1.2602 3.2315
Sm 2.9098 0.6438 0.0000
Sm 2.9098 1.4215 5.4245
Pm 2.9098 5.5895 0.0000
Nd 0.0000 4.9599 7.6391
Pm 2.9098 4.7439 5.4245
Nd 0.0000 3.1054 0.0000
Pm 2.9098 3.0945 2.2858
Nd 0.0000 4.9599 3.2099

***

B:
11
Lattice="-2.3981 -2.1910 1.5617 2.2983 -8.0927 -7.8246 6.7999 1.7026 8.6712" Properties=species:S:1:pos:R:3 comment="Pm4Nd3Sm4, relaxed, DFT PBE-GGA" sg="No. 71" density_g_cm3=6.9 pbc="T T T"
Nd 1.4193 -0.7231 1.1648
Sm 2.8137 -8.2899 -3.1507
Pm 4.1020 -5.5509 -1.4888
Nd 1.1491 -4.0464 -3.9123
Nd 5.2808 -7.8580 1.2435
Pm 2.5980 -3.0302 3.8971
Pm 0.6060 -7.4514 -5.3645
Sm 5.0079 -4.2405 1.7406
Sm 1.6921 -4.3406 0.6677
Pm -0.7058 -2.8323 -0.8984
Sm 3.8864 -0.2913 5.5590

***

A has the most favorable energy; the next structure is 16 meV/atom above.

***

A:
20
Lattice="-6.8522 -3.2878 6.0216 6.8458 -6.6978 -1.5814 4.1550 7.7637 4.0174" Properties=species:S:1:pos:R:3 comment="Pm5Nd2Sm3, relaxed, DFT PBE-GGA" sg="No. 15" density_g_cm3=6.9 pbc="T T T"
Nd 6.1884 -0.0318 3.5412
Sm -0.6144 1.8674 7.3039
Pm 3.9991 2.3476 1.9290
Pm -1.4846 -5.6602 4.0735
Sm 4.7631 -4.0894 1.1536
Pm 0.1496 -4.5696 6.5286
Pm 0.1965 0.4524 4.3742
Pm 2.5069 -5.9239 3.4808
Pm 5.6332 3.4382 4.3840
Pm 3.9521 -2.6744 4.0833
Nd 7.5579 -4.7511 -0.3345
Sm 3.4571 0.6723 5.1247
Nd -3.4092 2.5291 8.7920
Nd -2.0397 -2.1902 4.9164
Sm 0.6915 -2.8943 3.3328
Sm 5.6874 -1.5164 6.6902
Pm 1.1925 -1.1679 7.4391
Pm 2.9562 -1.0541 1.0184
Sm -1.5387 -0.7056 1.7673
Pm 1.6417 3.7019 4.9768

***

B:
20
Lattice="6.9416 0.0000 0.0000 3.4708 11.7020 2.9183 3.4708 5.9190 10.5080" Properties=species:S:1:pos:R:3 comment="Pm5Nd2Sm3, relaxed, DFT PBE-GGA" sg="No. 72" density_g_cm3=6.6 pbc="T T T"
Sm 5.2062 0.0000 0.0000
Sm 1.7354 0.0000 0.0000
Pm 1.7354 4.3843 3.3406
Nd 6.9416 2.7414 0.9070
Sm 10.4125 12.4447 6.4779
Pm 8.6770 13.2368 10.0857
Nd 3.4708 1.6020 2.4024
Pm 8.6770 8.8105 6.7131
Pm 6.9416 6.0400 5.7270
Sm 6.9416 9.5481 10.2795
Pm 12.1479 13.2368 10.0857
Pm 3.4708 7.1245 4.3037
Sm 3.4708 5.1763 6.9484
Pm 5.2062 4.3843 3.3406
Pm 5.2062 8.8105 6.7131
Pm 10.4125 10.4965 9.1226
Pm 6.9416 11.5810 7.6993
Nd 6.9416 14.8796 12.5193
Sm 6.9416 8.0729 3.1468
Nd 10.4125 16.0190 11.0239

***

A has the most favorable energy; the next structure is 178 meV/atom above.